# 1
# BaSi2Ru, optimized geometry, DFT PBE
data_BaSi2Ru
_chemical_formula_sum 'Ba2 Si4 Ru2'
_cell_length_a 5.5997
_cell_length_b 8.8846
_cell_length_c 3.3674
_cell_angle_alpha 90.00
_cell_angle_beta 90.00
_cell_angle_gamma 90.00
_space_group_name_H-M_alt 'P 1'
_space_group_IT_number 1
_space_group_name_Hall 'P 1'
loop_
_atom_site_label
_atom_site_type_symbol
_atom_site_fract_x
_atom_site_fract_y
_atom_site_fract_z
_atom_site_occupancy
Ba1 Ba 0.0000 0.0000 0.0000 1
Ba2 Ba 0.5000 0.5000 0.0000 1
Si1 Si 0.2500 0.2500 0.5000 1
Si2 Si 0.2500 0.7500 0.5000 1
Si3 Si 0.7500 0.2500 0.5000 1
Si4 Si 0.7500 0.7500 0.5000 1
Ru1 Ru 0.0000 0.5000 0.0000 1
Ru2 Ru 0.5000 0.0000 0.0000 1
# Crystal system: orthorhombic
# Uncorrected formation energy, meV per atom: 756
# Symmetry: Cmmm (65)
# Total magnetic moment, μB per formula unit: 0.00
# Calculated total energy, eV per atom: -4.756
# D(E_F), states/eV/cell: 5.700

---

# 2
# TlSbS, optimized geometry, DFT PBE
data_TlSbS
_chemical_formula_sum 'Tl4 Sb4 S4'
_cell_length_a 6.4655
_cell_length_b 6.1565
_cell_length_c 9.4124
_cell_angle_alpha 90.00
_cell_angle_beta 98.89
_cell_angle_gamma 90.00
_space_group_name_H-M_alt 'P 1'
_space_group_IT_number 1
_space_group_name_Hall 'P 1'
loop_
_atom_site_label
_atom_site_type_symbol
_atom_site_fract_x
_atom_site_fract_y
_atom_site_fract_z
_atom_site_occupancy
Tl1 Tl 0.2364 0.0000 0.1346 1
Tl2 Tl 0.2636 0.5000 0.8654 1
Tl3 Tl 0.7364 0.5000 0.1346 1
Tl4 Tl 0.7636 0.0000 0.8654 1
Sb1 Sb 0.2261 0.0000 0.5125 1
Sb2 Sb 0.2739 0.5000 0.4875 1
Sb3 Sb 0.7261 0.5000 0.5125 1
Sb4 Sb 0.7739 0.0000 0.4875 1
S1 S 0.2016 0.5000 0.2251 1
S2 S 0.2984 0.0000 0.7749 1
S3 S 0.7016 0.0000 0.2251 1
S4 S 0.7984 0.5000 0.7749 1
# Crystal system: monoclinic
# Uncorrected formation energy, meV per atom: -202
# Symmetry: C2/m (12)
# Offset from the most stable computed form, meV per atom: 0
# Total magnetic moment, μB per formula unit: 0.00
# Calculated total energy, eV per atom: -3.741
# D(E_F), states/eV/cell: 1.941

---

# 3
# AlFe2Pb, optimized geometry, DFT PBE
data_AlFe2Pb
_chemical_formula_sum 'Al4 Fe8 Pb4'
_cell_length_a 4.0799
_cell_length_b 4.0799
_cell_length_c 17.7805
_cell_angle_alpha 90.00
_cell_angle_beta 90.00
_cell_angle_gamma 90.00
_space_group_name_H-M_alt 'P 1'
_space_group_IT_number 1
_space_group_name_Hall 'P 1'
loop_
_atom_site_label
_atom_site_type_symbol
_atom_site_fract_x
_atom_site_fract_y
_atom_site_fract_z
_atom_site_occupancy
Al1 Al 0.0000 0.0000 0.0000 1
Al2 Al 0.0000 0.5000 0.2500 1
Al3 Al 0.5000 0.0000 0.7500 1
Al4 Al 0.5000 0.5000 0.5000 1
Fe1 Fe 0.1653 0.2500 0.1250 1
Fe2 Fe 0.2500 0.6653 0.3750 1
Fe3 Fe 0.2500 0.8347 0.8750 1
Fe4 Fe 0.3347 0.2500 0.6250 1
Fe5 Fe 0.6653 0.7500 0.6250 1
Fe6 Fe 0.7500 0.1653 0.8750 1
Fe7 Fe 0.7500 0.3347 0.3750 1
Fe8 Fe 0.8347 0.7500 0.1250 1
Pb1 Pb 0.0000 0.0000 0.5000 1
Pb2 Pb 0.0000 0.5000 0.7500 1
Pb3 Pb 0.5000 0.0000 0.2500 1
Pb4 Pb 0.5000 0.5000 0.0000 1
# Crystal system: tetragonal
# ΔE_f, eV/atom: 0.59
# Symmetry: I-42d (122)
# Offset from the most stable computed form, meV per atom: 364
# Total magnetic moment, μB per formula unit: 4.62
# Calculated total energy, eV per atom: -5.507
# D(E_F), states/eV/cell: 16.826

---

# 4
# CrHg2Cl, optimized geometry, DFT PBE
data_CrHg2Cl
_chemical_formula_sum 'Cr2 Hg4 Cl2'
_cell_length_a 3.1532
_cell_length_b 6.7582
_cell_length_c 9.2320
_cell_angle_alpha 103.94
_cell_angle_beta 90.12
_cell_angle_gamma 102.42
_space_group_name_H-M_alt 'P 1'
_space_group_IT_number 1
_space_group_name_Hall 'P 1'
loop_
_atom_site_label
_atom_site_type_symbol
_atom_site_fract_x
_atom_site_fract_y
_atom_site_fract_z
_atom_site_occupancy
Cr1 Cr 0.0627 0.1320 0.4832 1
Cr2 Cr 0.9373 0.8680 0.5168 1
Hg1 Hg 0.1480 0.2950 0.0096 1
Hg2 Hg 0.4647 0.9260 0.7704 1
Hg3 Hg 0.5353 0.0740 0.2296 1
Hg4 Hg 0.8520 0.7050 0.9904 1
Cl1 Cl 0.3342 0.6488 0.3702 1
Cl2 Cl 0.6658 0.3512 0.6298 1
# Crystal system: triclinic
# Uncorrected formation energy, meV per atom: -80
# Symmetry: P-1 (2)
# Offset from the most stable computed form, meV per atom: 15
# Total magnetic moment, μB per formula unit: 0.00
# Calculated total energy, eV per atom: -3.099
# D(E_F), states/eV/cell: 3.351

---

# 5
# BaFeIr2, optimized geometry, DFT PBE
data_BaFeIr2
_chemical_formula_sum 'Ba1 Fe1 Ir2'
_cell_length_a 4.3518
_cell_length_b 4.3518
_cell_length_c 4.1471
_cell_angle_alpha 90.00
_cell_angle_beta 90.00
_cell_angle_gamma 90.00
_space_group_name_H-M_alt 'P 1'
_space_group_IT_number 1
_space_group_name_Hall 'P 1'
loop_
_atom_site_label
_atom_site_type_symbol
_atom_site_fract_x
_atom_site_fract_y
_atom_site_fract_z
_atom_site_occupancy
Ba1 Ba 0.0000 0.0000 0.0000 1
Fe1 Fe 0.5000 0.5000 0.0000 1
Ir1 Ir 0.0000 0.5000 0.5000 1
Ir2 Ir 0.5000 0.0000 0.5000 1
# Crystal system: tetragonal
# ΔE_f, eV/atom: 0.92
# Symmetry: P4/mmm (123)
# Total magnetic moment, μB per formula unit: 4.22
# Calculated total energy, eV per atom: -6.107
# D(E_F), states/eV/cell: 5.327

---

# 6
# La2Tb2In, optimized geometry, DFT PBE
data_La2Tb2In
_chemical_formula_sum 'La4 Tb4 In2'
_cell_length_a 11.3195
_cell_length_b 4.8641
_cell_length_c 7.9565
_cell_angle_alpha 90.00
_cell_angle_beta 134.51
_cell_angle_gamma 90.00
_space_group_name_H-M_alt 'P 1'
_space_group_IT_number 1
_space_group_name_Hall 'P 1'
loop_
_atom_site_label
_atom_site_type_symbol
_atom_site_fract_x
_atom_site_fract_y
_atom_site_fract_z
_atom_site_occupancy
La1 La 0.1146 0.0000 0.3113 1
La2 La 0.3854 0.5000 0.6887 1
La3 La 0.6146 0.5000 0.3113 1
La4 La 0.8854 0.0000 0.6887 1
Tb1 Tb 0.2027 0.5000 0.0902 1
Tb2 Tb 0.2973 0.0000 0.9098 1
Tb3 Tb 0.7027 0.0000 0.0902 1
Tb4 Tb 0.7973 0.5000 0.9098 1
In1 In 0.0000 0.5000 0.5000 1
In2 In 0.5000 0.0000 0.5000 1
# Crystal system: monoclinic
# ΔE_f, eV/atom: -0.19
# Symmetry: C2/m (12)
# Offset from the most stable computed form, meV per atom: 0
# Total magnetic moment, μB per formula unit: 0.00
# Calculated total energy, eV per atom: -4.556
# D(E_F), states/eV/cell: 10.919

---

# 7
# MgAl2PtAu4, optimized geometry, DFT PBE
data_MgAl2PtAu4
_chemical_formula_sum 'Mg1 Al2 Pt1 Au4'
_cell_length_a 3.8046
_cell_length_b 3.8046
_cell_length_c 10.5089
_cell_angle_alpha 90.00
_cell_angle_beta 90.00
_cell_angle_gamma 90.00
_space_group_name_H-M_alt 'P 1'
_space_group_IT_number 1
_space_group_name_Hall 'P 1'
loop_
_atom_site_label
_atom_site_type_symbol
_atom_site_fract_x
_atom_site_fract_y
_atom_site_fract_z
_atom_site_occupancy
Mg1 Mg 0.0000 0.0000 0.0000 1
Al1 Al 0.5000 0.5000 0.3812 1
Al2 Al 0.5000 0.5000 0.6188 1
Pt1 Pt 0.0000 0.0000 0.5000 1
Au1 Au 0.0000 0.5000 0.2021 1
Au2 Au 0.0000 0.5000 0.7979 1
Au3 Au 0.5000 0.0000 0.2021 1
Au4 Au 0.5000 0.0000 0.7979 1
# Crystal system: tetragonal
# ΔE_f, eV/atom: -0.22
# Symmetry: P4/mmm (123)
# Total magnetic moment, μB per formula unit: 0.00
# Calculated total energy, eV per atom: -3.754
# D(E_F), states/eV/cell: 2.469

---

# 8
# Cs2SiSI6, optimized geometry, DFT PBE
data_Cs2SiSI6
_chemical_formula_sum 'Cs2 Si1 S1 I6'
_cell_length_a 8.3109
_cell_length_b 8.3109
_cell_length_c 8.3109
_cell_angle_alpha 121.80
_cell_angle_beta 121.80
_cell_angle_gamma 86.91
_space_group_name_H-M_alt 'P 1'
_space_group_IT_number 1
_space_group_name_Hall 'P 1'
loop_
_atom_site_label
_atom_site_type_symbol
_atom_site_fract_x
_atom_site_fract_y
_atom_site_fract_z
_atom_site_occupancy
Cs1 Cs 0.2500 0.7500 0.5000 1
Cs2 Cs 0.7500 0.2500 0.5000 1
Si1 Si 0.0000 0.0000 0.0000 1
S1 S 0.5000 0.5000 0.0000 1
I1 I 0.2314 0.2314 0.0000 1
I2 I 0.2457 0.2457 0.4914 1
I3 I 0.2457 0.7543 0.0000 1
I4 I 0.7543 0.2457 0.0000 1
I5 I 0.7543 0.7543 0.5086 1
I6 I 0.7686 0.7686 0.0000 1
# Crystal system: tetragonal
# Uncorrected formation energy, meV per atom: -568
# Symmetry: I4/mmm (139)
# Total magnetic moment, μB per formula unit: 0.00
# Calculated total energy, eV per atom: -2.623
# D(E_F), states/eV/cell: 2.228

---

# 9
# Na2CaZrTe4, optimized geometry, DFT PBE
data_Na2CaZrTe4
_chemical_formula_sum 'Na2 Ca1 Zr1 Te4'
_cell_length_a 7.6444
_cell_length_b 4.3299
_cell_length_c 7.9101
_cell_angle_alpha 90.00
_cell_angle_beta 107.77
_cell_angle_gamma 90.00
_space_group_name_H-M_alt 'P 1'
_space_group_IT_number 1
_space_group_name_Hall 'P 1'
loop_
_atom_site_label
_atom_site_type_symbol
_atom_site_fract_x
_atom_site_fract_y
_atom_site_fract_z
_atom_site_occupancy
Na1 Na 0.0000 0.0000 0.0000 1
Na2 Na 0.5000 0.5000 0.0000 1
Ca1 Ca 0.0000 0.5000 0.5000 1
Zr1 Zr 0.5000 0.0000 0.5000 1
Te1 Te 0.2639 0.0000 0.7307 1
Te2 Te 0.2761 0.5000 0.2767 1
Te3 Te 0.7239 0.5000 0.7233 1
Te4 Te 0.7361 0.0000 0.2693 1
# Crystal system: monoclinic
# Uncorrected formation energy, meV per atom: -1084
# Symmetry: P2/m (10)
# Total magnetic moment, μB per formula unit: 0.00
# Calculated total energy, eV per atom: -4.303
# D(E_F), states/eV/cell: 0.431

---

# 10
# Y2TiB, optimized geometry, DFT PBE
data_Y2TiB
_chemical_formula_sum 'Y8 Ti4 B4'
_cell_length_a 9.4755
_cell_length_b 9.4755
_cell_length_c 4.3185
_cell_angle_alpha 90.00
_cell_angle_beta 90.00
_cell_angle_gamma 90.00
_space_group_name_H-M_alt 'P 1'
_space_group_IT_number 1
_space_group_name_Hall 'P 1'
loop_
_atom_site_label
_atom_site_type_symbol
_atom_site_fract_x
_atom_site_fract_y
_atom_site_fract_z
_atom_site_occupancy
Y1 Y 0.0967 0.2500 0.1250 1
Y2 Y 0.2500 0.5967 0.3750 1
Y3 Y 0.2500 0.9033 0.8750 1
Y4 Y 0.4033 0.2500 0.6250 1
Y5 Y 0.5967 0.7500 0.6250 1
Y6 Y 0.7500 0.0967 0.8750 1
Y7 Y 0.7500 0.4033 0.3750 1
Y8 Y 0.9033 0.7500 0.1250 1
Ti1 Ti 0.0000 0.0000 0.5000 1
Ti2 Ti 0.0000 0.5000 0.7500 1
Ti3 Ti 0.5000 0.0000 0.2500 1
Ti4 Ti 0.5000 0.5000 0.0000 1
B1 B 0.0000 0.0000 0.0000 1
B2 B 0.0000 0.5000 0.2500 1
B3 B 0.5000 0.0000 0.7500 1
B4 B 0.5000 0.5000 0.5000 1
# Crystal system: tetragonal
# ΔE_f, eV/atom: 0.25
# Symmetry: I-42d (122)
# Total magnetic moment, μB per formula unit: 0.85
# Calculated total energy, eV per atom: -6.621
# D(E_F), states/eV/cell: 14.053

---

# 11
# CaScFe2, optimized geometry, DFT PBE
data_CaScFe2
_chemical_formula_sum 'Ca4 Sc4 Fe8'
_cell_length_a 4.4768
_cell_length_b 4.4768
_cell_length_c 17.2257
_cell_angle_alpha 90.00
_cell_angle_beta 90.00
_cell_angle_gamma 90.00
_space_group_name_H-M_alt 'P 1'
_space_group_IT_number 1
_space_group_name_Hall 'P 1'
loop_
_atom_site_label
_atom_site_type_symbol
_atom_site_fract_x
_atom_site_fract_y
_atom_site_fract_z
_atom_site_occupancy
Ca1 Ca 0.0000 0.2500 0.3750 1
Ca2 Ca 0.0000 0.7500 0.6250 1
Ca3 Ca 0.5000 0.2500 0.1250 1
Ca4 Ca 0.5000 0.7500 0.8750 1
Sc1 Sc 0.0000 0.2500 0.8750 1
Sc2 Sc 0.0000 0.7500 0.1250 1
Sc3 Sc 0.5000 0.2500 0.6250 1
Sc4 Sc 0.5000 0.7500 0.3750 1
Fe1 Fe 0.0000 0.0000 0.0000 1
Fe2 Fe 0.0000 0.5000 0.0000 1
Fe3 Fe 0.2500 0.2500 0.7500 1
Fe4 Fe 0.2500 0.7500 0.2500 1
Fe5 Fe 0.5000 0.0000 0.5000 1
Fe6 Fe 0.5000 0.5000 0.5000 1
Fe7 Fe 0.7500 0.2500 0.7500 1
Fe8 Fe 0.7500 0.7500 0.2500 1
# Crystal system: tetragonal
# ΔE_f, eV/atom: 0.78
# Symmetry: I4_1/amd (141)
# Total magnetic moment, μB per formula unit: 0.00
# Calculated total energy, eV per atom: -5.533
# D(E_F), states/eV/cell: 26.623

---

# 12
# PuPa3Pt2, optimized geometry, DFT PBE
data_PuPa3Pt2
_chemical_formula_sum 'Pu2 Pa6 Pt4'
_cell_length_a 5.6857
_cell_length_b 5.6857
_cell_length_c 7.6454
_cell_angle_alpha 94.85
_cell_angle_beta 94.85
_cell_angle_gamma 96.40
_space_group_name_H-M_alt 'P 1'
_space_group_IT_number 1
_space_group_name_Hall 'P 1'
loop_
_atom_site_label
_atom_site_type_symbol
_atom_site_fract_x
_atom_site_fract_y
_atom_site_fract_z
_atom_site_occupancy
Pu1 Pu 0.0980 0.9020 0.7500 1
Pu2 Pu 0.9020 0.0980 0.2500 1
Pa1 Pa 0.1494 0.2999 0.9877 1
Pa2 Pa 0.2999 0.1494 0.4877 1
Pa3 Pa 0.4132 0.5868 0.7500 1
Pa4 Pa 0.5868 0.4132 0.2500 1
Pa5 Pa 0.7001 0.8506 0.5123 1
Pa6 Pa 0.8506 0.7001 0.0123 1
Pt1 Pt 0.1334 0.6206 0.3751 1
Pt2 Pt 0.3794 0.8666 0.1249 1
Pt3 Pt 0.6206 0.1334 0.8751 1
Pt4 Pt 0.8666 0.3794 0.6249 1
# Crystal system: monoclinic
# ΔE_f, eV/atom: -0.38
# Symmetry: C2/c (15)
# Total magnetic moment, μB per formula unit: 4.25
# Calculated total energy, eV per atom: -9.529
# D(E_F), states/eV/cell: 19.854